DFT (PBE) results for a geometry-optimized TlCuAsBr2 structure.

The structure belongs to space group P4/mmm (No. 123); the cell edges are 5.758, 5.758 and 5.486 Å and the angles 90.00°, 90.00° and 90.00°. The distinct sites, in fractional coordinates, are Tl at (0.000, 0.000, 0.000), Cu at (0.500, 0.500, 0.500), As at (0.000, 0.000, 0.500) and Br at (0.000, 0.500, 0.000).

The calculation puts the formation energy from raw total energies at 664 meV/atom. The total energy comes out at -2.228 eV per atom. For the relative energy among the computed polymorphs, the calculation gives 0.689 eV per atom. Its magnetic moment is 1.607 Bohr magnetons per cell. Its theoretical density is 4.6 g/cm3.

***

DFT (PBE) results for a geometry-optimized Y2CdHRu structure.

The structure belongs to space group P4/mmm (No. 123); the cell edges are 5.619, 5.619 and 4.881 Å and the angles 90.00°, 90.00° and 90.00°. The distinct sites, in fractional coordinates, are Y at (0.000, 0.500, 0.000), Cd at (0.000, 0.000, 0.000), H at (0.500, 0.500, 0.500) and Ru at (0.000, 0.000, 0.500).

The total energy comes out at -3.998 eV per atom. For the relative energy among the computed polymorphs, the calculation gives 1.674 eV per atom. Its magnetic moment is 1.218 Bohr magnetons per cell. Its theoretical density is 4.2 g/cm3.

***

DFT (PBE) results for a geometry-optimized VInGe structure.

The structure belongs to space group P-6m2 (No. 187); the cell edges are 4.2616, 4.2616 and 3.6957 Å and the angles 90.00°, 90.00° and 120.00°. The distinct sites, in fractional coordinates, are V at (0.0000, 0.0000, 0.0000), In at (0.6667, 0.3333, 0.5000) and Ge at (0.3333, 0.6667, 0.0000).

As for the formation energy: 0.31 eV/atom. The total energy comes out at -5.182 eV per atom. Its magnetic moment is 1.681 Bohr magnetons per cell. Its theoretical density is 6.8 g/cm3.

***

DFT (PBE) results for a geometry-optimized FeSiW structure.

The structure belongs to space group Amm2 (No. 38); the cell edges are 7.617, 4.900 and 8.052 Å and the angles 90.00°, 90.00° and 90.00°. The distinct sites, in fractional coordinates, are Fe at (0.000, 0.000, 0.000), Fe at (0.000, 0.240, 0.242), Fe at (0.500, 0.000, 0.682), Si at (0.237, 0.000, 0.818), Si at (0.500, 0.240, 0.425), W at (0.182, 0.000, 0.492) and W at (0.310, 0.000, 0.161).

The calculation puts the formation energy from raw total energies at -261 meV/atom. The total energy comes out at -9.208 eV per atom. For the relative energy among the computed polymorphs, the calculation gives 0.047 eV per atom. Its magnetic moment is 5.242 Bohr magnetons per cell. Its theoretical density is 11.8 g/cm3.

***

DFT (PBE) results for a geometry-optimized Ba3Te structure.

The structure belongs to space group P2/m (No. 10); the cell edges are 4.999, 5.006 and 7.928 Å and the angles 90.00°, 98.18° and 90.00°. The distinct sites, in fractional coordinates, are Ba at (0.000, 0.000, 0.000), Ba at (0.415, 0.500, 0.717) and Te at (0.000, 0.000, 0.500).

The calculation puts the formation energy from raw total energies at -641 meV/atom. The total energy comes out at -2.869 eV per atom. For the relative energy among the computed polymorphs, the calculation gives 0.136 eV per atom. Its magnetic moment is 0.000 Bohr magnetons per cell. Its theoretical density is 4.6 g/cm3.

***

> What is the magnetic moment in the second record?

1.218 Bohr magnetons per cell

***

> Among the records above, which one has the lowest theoretical density?

Y2CdHRu

***

> What is the formula in the second record?

Y2CdHRu